1.
AsAuN2F: optimized geometry, PBE-GGA.

Unit cell a=4.1140 b=4.1140 c=4.1880 alpha=90.00 beta=90.00 gamma=90.00
Site moments in Bohr magnetons follow the coordinates.
Atoms (fractional coordinates):
As  0.5000  0.5000  0.5000  -0.40
N  0.0000  0.5000  0.0000  0.47
N  0.5000  0.0000  0.0000  0.47
Au  0.0000  0.0000  0.0000  0.12
F  0.0000  0.0000  0.5000  -0.03

The value obtained for the uncorrected formation energy is 1.453 eV per atom. As for the total energy: -3.836 eV/atom. The calculation puts the offset from the most stable computed form at 0.534 eV/atom.

***

2.
AsAuNF2: optimized geometry, PBE-GGA.

Unit cell a=4.2825 b=4.2825 c=3.7461 alpha=90.00 beta=90.00 gamma=90.00
Atoms (fractional coordinates):
As  0.0000  0.0000  0.0000
N  0.0000  0.0000  0.5000
Au  0.5000  0.5000  0.5000
F  0.0000  0.5000  0.0000
F  0.5000  0.0000  0.0000

The value obtained for the uncorrected formation energy is -0.046 eV per atom. As for the total energy: -4.045 eV/atom. The calculation puts the offset from the most stable computed form at 0.000 eV/atom.

***

3.
AsAuNF2: optimized geometry, PBE-GGA.

Unit cell a=4.4630 b=4.4630 c=3.9115 alpha=90.00 beta=90.00 gamma=90.00
Atoms (fractional coordinates):
As  0.5000  0.5000  0.5000
N  0.0000  0.0000  0.5000
Au  0.0000  0.0000  0.0000
F  0.0000  0.5000  0.0000
F  0.5000  0.0000  0.0000

The value obtained for the uncorrected formation energy is 0.561 eV per atom. As for the total energy: -3.438 eV/atom. The calculation puts the offset from the most stable computed form at 0.607 eV/atom.

***

4.
Na2AsAuF6: optimized geometry, PBE-GGA.

Unit cell a=6.3111 b=6.3111 c=6.3111 alpha=60.00 beta=60.00 gamma=60.00
Atoms (fractional coordinates):
Na  0.7500  0.7500  0.7500
Na  0.2500  0.2500  0.2500
As  0.0000  0.0000  0.0000
Au  0.5000  0.5000  0.5000
F  0.2282  0.7718  0.2282
F  0.7718  0.2282  0.2282
F  0.7718  0.2282  0.7718
F  0.2282  0.2282  0.7718
F  0.7718  0.7718  0.2282
F  0.2282  0.7718  0.7718

The value obtained for the uncorrected formation energy is -1.804 eV per atom. As for the total energy: -3.983 eV/atom.

***

5.
NaAsAu2F: optimized geometry, PBE-GGA.

Unit cell a=5.0219 b=4.3197 c=5.0219 alpha=90.00 beta=90.00 gamma=90.00
Atoms (fractional coordinates):
Na  0.5000  0.5000  0.5000
As  0.0000  0.0000  0.0000
Au  0.0000  0.0000  0.5000
Au  0.5000  0.0000  0.0000
F  0.0000  0.5000  0.0000

The value obtained for the uncorrected formation energy is -0.572 eV per atom. As for the total energy: -3.451 eV/atom.

***

6.
AsAuOF2: optimized geometry, PBE-GGA.

Unit cell a=4.2677 b=4.2677 c=4.3668 alpha=90.00 beta=90.00 gamma=90.00
Site moments in Bohr magnetons follow the coordinates.
Atoms (fractional coordinates):
As  0.5000  0.5000  0.5000  0.74
Au  0.0000  0.0000  0.0000  -0.09
O  0.0000  0.0000  0.5000  -0.16
F  0.0000  0.5000  0.0000  0.04
F  0.5000  0.0000  0.0000  0.04

The value obtained for the uncorrected formation energy is 0.017 eV per atom. As for the total energy: -3.309 eV/atom. The calculation puts the offset from the most stable computed form at 0.769 eV/atom.

***

7.
AsAuO2F: optimized geometry, PBE-GGA.

Unit cell a=4.1574 b=4.1574 c=4.2183 alpha=90.00 beta=90.00 gamma=90.00
Atoms (fractional coordinates):
As  0.5000  0.5000  0.5000
Au  0.0000  0.0000  0.0000
O  0.0000  0.5000  0.0000
O  0.5000  0.0000  0.0000
F  0.0000  0.0000  0.5000

The value obtained for the uncorrected formation energy is 0.295 eV per atom. As for the total energy: -3.647 eV/atom.

***

8.
AsAuOF2: optimized geometry, PBE-GGA.

Unit cell a=4.2660 b=4.2660 c=3.9654 alpha=90.00 beta=90.00 gamma=90.00
Atoms (fractional coordinates):
As  0.0000  0.0000  0.0000
Au  0.5000  0.5000  0.5000
O  0.0000  0.0000  0.5000
F  0.0000  0.5000  0.0000
F  0.5000  0.0000  0.0000

The value obtained for the uncorrected formation energy is -0.752 eV per atom. As for the total energy: -4.078 eV/atom. The calculation puts the offset from the most stable computed form at 0.000 eV/atom.